*w*
# LiPmHg4 PBE optimized geometry
# Magnetization in μB per formula unit: 0.0
data_LiPmHg4
_space_group_name_H-M_alt 'C 1 2/m 1'
_space_group_IT_number 12
_cell_length_a 6.669
_cell_length_b 6.672
_cell_length_c 7.257
_cell_angle_alpha 90.00
_cell_angle_beta 90.19
_cell_angle_gamma 90.00
loop_
_space_group_symop_operation_xyz
'x,y,z'
'-x,-y,-z'
'-x,y,-z'
'x,-y,z'
'x+1/2,y+1/2,z'
'-x+1/2,-y+1/2,-z'
'-x+1/2,y+1/2,-z'
'x+1/2,-y+1/2,z'
loop_
_atom_site_label
_atom_site_fract_x
_atom_site_fract_y
_atom_site_fract_z
_atom_site_occupancy
Li1 0.000 0.000 0.000 1
Pm1 0.000 0.500 0.500 1
Hg1 0.249 0.251 0.211 1

***

*x*
# LiPmHg4 PBE optimized geometry
# Magnetization in μB per formula unit: 0.0
data_LiPmHg4
_space_group_name_H-M_alt 'F -4 3 m'
_space_group_IT_number 216
_space_group_name_Hall 'F -4 2 3'
_cell_length_a 8.408
_cell_length_b 8.408
_cell_length_c 8.408
_cell_angle_alpha 90.00
_cell_angle_beta 90.00
_cell_angle_gamma 90.00
loop_
_atom_site_label
_atom_site_fract_x
_atom_site_fract_y
_atom_site_fract_z
_atom_site_occupancy
Li1 0.000 0.000 0.000 1
Pm1 0.250 0.250 0.750 1
Hg1 0.125 0.125 0.375 1

***

Relative energies in meV/atom: *w* 0; *x* 20